No. 1
Entry from the Alexandria database: a geometry-optimized SiAsCl structure (PBE).

energy relative to the elements, uncorrected = -0.509 eV per atom
total moment = 0.00 μB/cell
E above lowest polymorph = 0.011 eV per atom
symmetry = Pmn2_1 (31)

The structure in POSCAR format:
```
SiAsCl
1.0
3.6966 0.0000 0.0000
0.0000 7.5520 0.0000
0.0000 0.0000 6.2383
Si As Cl
2 2 2
Direct
0.0000 0.0657 0.0000 Si
0.5000 0.9343 0.5000 Si
0.0000 0.1124 0.6162 As
0.5000 0.8876 0.1162 As
0.0000 0.3269 0.1063 Cl
0.5000 0.6731 0.6063 Cl
```



No. 2
Entry from the Alexandria database: a geometry-optimized LaCo2Rh structure (PBE).

calculated formation energy = 0.616 eV per atom
total moment = 13.52 μB/cell
symmetry = R-3m (166)

The structure in POSCAR format:
```
LaCo2Rh
1.0
2.9021 0.0000 0.0000
-1.4511 2.5133 0.0000
0.0000 0.0000 27.4210
La Co Rh
3 6 3
Direct
0.0000 0.0000 0.0000 La
0.3333 0.6667 0.6667 La
0.6667 0.3333 0.3333 La
0.0000 0.0000 0.2378 Co
0.0000 0.0000 0.7622 Co
0.3333 0.6667 0.4289 Co
0.3333 0.6667 0.9045 Co
0.6667 0.3333 0.0955 Co
0.6667 0.3333 0.5711 Co
0.0000 0.0000 0.5000 Rh
0.3333 0.6667 0.1667 Rh
0.6667 0.3333 0.8333 Rh
```



No. 3
Entry from the Alexandria database: a geometry-optimized Ba2Sr2Sn structure (PBE).

calculated formation energy = 0.201 eV per atom
total moment = 0.00 μB/cell
E above lowest polymorph = 0.325 eV per atom
symmetry = I4/mmm (139)

The structure in POSCAR format:
```
Ba2Sr2Sn
1.0
4.7897 0.0000 0.0000
0.0000 4.7897 0.0000
0.0000 0.0000 21.4477
Ba Sr Sn
4 4 2
Direct
0.0000 0.5000 0.2500 Ba
0.0000 0.5000 0.7500 Ba
0.5000 0.0000 0.2500 Ba
0.5000 0.0000 0.7500 Ba
0.0000 0.0000 0.0814 Sr
0.0000 0.0000 0.9186 Sr
0.5000 0.5000 0.4186 Sr
0.5000 0.5000 0.5814 Sr
0.0000 0.0000 0.5000 Sn
0.5000 0.5000 0.0000 Sn
```



No. 4
Entry from the Alexandria database: a geometry-optimized La2ReAu structure (PBE).

calculated formation energy = 0.022 eV per atom
total moment = 0.00 μB/cell
E above lowest polymorph = 0.191 eV per atom
symmetry = Imm2 (44)

The structure in POSCAR format:
```
La2ReAu
1.0
3.5365 0.0000 0.0000
0.0000 5.0372 0.0000
0.0000 0.0000 11.1377
La Re Au
4 2 2
Direct
0.0000 0.0000 0.0000 La
0.0000 0.5000 0.1950 La
0.5000 0.0000 0.6950 La
0.5000 0.5000 0.5000 La
0.0000 0.5000 0.7283 Re
0.5000 0.0000 0.2283 Re
0.0000 0.0000 0.4164 Au
0.5000 0.5000 0.9164 Au
```



No. 5
Entry from the Alexandria database: a geometry-optimized RbSiB3 structure (PBE).

energy relative to the elements, uncorrected = 3.583 eV per atom
total moment = 0.62 μB/cell
E above lowest polymorph = 1.983 eV per atom
symmetry = Pm-3m (221)

The structure in POSCAR format:
```
RbSiB3
1.0
4.8439 0.0000 0.0000
0.0000 4.8439 0.0000
0.0000 0.0000 4.8439
Rb Si B
1 1 3
Direct
0.0000 0.0000 0.0000 Rb
0.5000 0.5000 0.5000 Si
0.0000 0.0000 0.5000 B
0.0000 0.5000 0.0000 B
0.5000 0.0000 0.0000 B
```



No. 6
Entry from the Alexandria database: a geometry-optimized Ni3TeBr structure (PBE).

energy relative to the elements, uncorrected = 0.732 eV per atom
total moment = 0.00 μB/cell
E above lowest polymorph = 0.006 eV per atom
symmetry = Pm-3m (221)

The structure in POSCAR format:
```
Ni3TeBr
1.0
4.5020 0.0000 0.0000
0.0000 4.5020 0.0000
0.0000 0.0000 4.5020
Ni Te Br
3 1 1
Direct
0.0000 0.0000 0.5000 Ni
0.0000 0.5000 0.0000 Ni
0.5000 0.0000 0.0000 Ni
0.5000 0.5000 0.5000 Te
0.0000 0.0000 0.0000 Br
```



No. 7
Entry from the Alexandria database: a geometry-optimized Pm5PrNd2 structure (PBE).

calculated formation energy = 0.151 eV per atom
total moment = 0.00 μB/cell
E above lowest polymorph = 0.137 eV per atom
symmetry = C2/c (15)

The structure in POSCAR format:
```
Pm5PrNd2
1.0
8.3958 -5.1062 0.0000
8.3958 5.1062 0.0000
-0.9917 0.0000 6.5389
Pm Pr Nd
10 2 4
Direct
0.0600 0.9400 0.7500 Pm
0.1119 0.2889 0.0213 Pm
0.2889 0.1119 0.5213 Pm
0.3145 0.4912 0.8525 Pm
0.4912 0.3145 0.3525 Pm
0.5088 0.6855 0.6475 Pm
0.6855 0.5088 0.1475 Pm
0.7111 0.8881 0.4787 Pm
0.8881 0.7111 0.9787 Pm
0.9400 0.0600 0.2500 Pm
0.0000 0.5000 0.5000 Pr
0.5000 0.0000 0.0000 Pr
0.1761 0.6677 0.3766 Nd
0.3323 0.8239 0.1234 Nd
0.6677 0.1761 0.8766 Nd
0.8239 0.3323 0.6234 Nd
```



No. 8
Entry from the Alexandria database: a geometry-optimized NaHgSb2 structure (PBE).

energy relative to the elements, uncorrected = -0.085 eV per atom
total moment = 0.00 μB/cell
symmetry = P4/mmm (123)

The structure in POSCAR format:
```
NaHgSb2
1.0
4.5609 0.0000 0.0000
0.0000 4.5609 0.0000
0.0000 0.0000 5.1195
Na Hg Sb
1 1 2
Direct
0.0000 0.0000 0.0000 Na
0.5000 0.5000 0.0000 Hg
0.0000 0.5000 0.5000 Sb
0.5000 0.0000 0.5000 Sb
```



No. 9
Entry from the Alexandria database: a geometry-optimized Sr3Ga3Cu2 structure (PBE).

calculated formation energy = -0.303 eV per atom
total moment = 0.00 μB/cell
E above lowest polymorph = 0.000 eV per atom
symmetry = Cmcm (63)

The structure in POSCAR format:
```
Sr3Ga3Cu2
1.0
2.0977 -5.7978 0.0000
2.0977 5.7978 0.0000
0.0000 0.0000 16.5171
Sr Ga Cu
6 6 4
Direct
0.0437 0.9563 0.6059 Sr
0.0437 0.9563 0.8941 Sr
0.3379 0.6621 0.7500 Sr
0.6621 0.3379 0.2500 Sr
0.9563 0.0437 0.1059 Sr
0.9563 0.0437 0.3941 Sr
0.3197 0.6803 0.5363 Ga
0.3197 0.6803 0.9637 Ga
0.3670 0.6330 0.2500 Ga
0.6330 0.3670 0.7500 Ga
0.6803 0.3197 0.0363 Ga
0.6803 0.3197 0.4637 Ga
0.2508 0.7492 0.1121 Cu
0.2508 0.7492 0.3879 Cu
0.7492 0.2508 0.6121 Cu
0.7492 0.2508 0.8879 Cu
```



No. 10
Entry from the Alexandria database: a geometry-optimized GaCu2Au3 structure (PBE).

calculated formation energy = -0.075 eV per atom
total moment = 0.00 μB/cell
E above lowest polymorph = 0.000 eV per atom
symmetry = Cmmm (65)

The structure in POSCAR format:
```
GaCu2Au3
1.0
2.1077 -6.3521 0.0000
2.1077 6.3521 0.0000
0.0000 0.0000 7.0952
Ga Cu Au
2 4 6
Direct
0.1498 0.8502 0.0000 Ga
0.8502 0.1498 0.0000 Ga
0.1750 0.8250 0.5000 Cu
0.5000 0.5000 0.0000 Cu
0.5000 0.5000 0.5000 Cu
0.8250 0.1750 0.5000 Cu
0.0000 0.0000 0.2752 Au
0.0000 0.0000 0.7248 Au
0.3334 0.6666 0.2452 Au
0.3334 0.6666 0.7548 Au
0.6666 0.3334 0.2452 Au
0.6666 0.3334 0.7548 Au
```



No. 11
Entry from the Alexandria database: a geometry-optimized Be2MoRh2 structure (PBE).

calculated formation energy = -0.366 eV per atom
total moment = 0.12 μB/cell
E above lowest polymorph = 0.000 eV per atom
symmetry = P4/mbm (127)

The structure in POSCAR format:
```
Be2MoRh2
1.0
6.5562 0.0000 0.0000
0.0000 6.5562 0.0000
0.0000 0.0000 2.7712
Be Mo Rh
4 2 4
Direct
0.1238 0.3762 0.0000 Be
0.3762 0.8762 0.0000 Be
0.6238 0.1238 0.0000 Be
0.8762 0.6238 0.0000 Be
0.0000 0.0000 0.0000 Mo
0.5000 0.5000 0.0000 Mo
0.1688 0.6688 0.5000 Rh
0.3312 0.1688 0.5000 Rh
0.6688 0.8312 0.5000 Rh
0.8312 0.3312 0.5000 Rh
```



No. 12
Entry from the Alexandria database: a geometry-optimized CeSb4Rh6 structure (PBE).

energy relative to the elements, uncorrected = -0.401 eV per atom
total moment = 0.53 μB/cell
E above lowest polymorph = 0.191 eV per atom
symmetry = I-42m (121)

The structure in POSCAR format:
```
CeSb4Rh6
1.0
-3.3887 3.3887 4.8481
3.3887 -3.3887 4.8481
3.3887 3.3887 -4.8481
Ce Sb Rh
1 4 6
Direct
0.0000 0.0000 0.0000 Ce
0.1228 0.5349 0.0000 Sb
0.4651 0.4651 0.5879 Sb
0.5349 0.1228 0.0000 Sb
0.8772 0.8772 0.4121 Sb
0.0000 0.5000 0.5000 Rh
0.2334 0.2334 0.6696 Rh
0.4362 0.7666 0.0000 Rh
0.5000 0.0000 0.5000 Rh
0.5638 0.5638 0.3304 Rh
0.7666 0.4362 0.0000 Rh
```